Record 1
{
  "formula": "SbPbW2",
  "functional": "meta-GGA SCAN",
  "state": "single point on PBEsol structure",
  "total_energy_ev_per_atom": -62.16,
  "volume_a3_per_cell": 83.0,
  "n_ef_per_ev_atom": 0.683,
  "space_group": "Imm2",
  "e_form_raw_ev_per_atom": 0.9475,
  "e_above_lowest_polymorph_mev_per_atom": 0,
  "lattice": [[-1.5857, -2.7234, 0.4393], [3.6561, -2.4352, -1.8990], [1.1987, 2.0764, 5.6756]],
  "species": ["Pb", "Sb", "W", "W"],
  "fractional_positions": [[0.4934, 0.4934, 0.9869], [0.2802, 0.7802, 0.5605], [0.0243, 0.0243, 0.0486], [0.7020, 0.2020, 0.4040]]
}

---

Record 2
{
  "formula": "Li3Sm3Te2O12",
  "functional": "meta-GGA SCAN",
  "state": "single point on PBEsol structure",
  "total_energy_ev_per_atom": -17.06,
  "volume_a3_per_cell": 960.8,
  "n_ef_per_ev_atom": 0.000,
  "space_group": "Ia-3d",
  "e_form_raw_ev_per_atom": -2.5734,
  "lattice": [[-9.0587, 4.9775, 3.0151], [-1.3237, -4.2283, -9.8130], [2.2879, -7.8457, 7.0098]],
  "species": ["Li", "Li", "Li", "Li", "Li", "Li", "Li", "Li", "Li", "Li", "Li", "Li", "Sm", "Sm", "Sm", "Sm", "Sm", "Sm", "Sm", "Sm", "Sm", "Sm", "Sm", "Sm", "Te", "Te", "Te", "Te", "Te", "Te", "Te", "Te", "O", "O", "O", "O", "O", "O", "O", "O", "O", "O", "O", "O", "O", "O", "O", "O", "O", "O", "O", "O", "O", "O", "O", "O", "O", "O", "O", "O", "O", "O", "O", "O", "O", "O", "O", "O", "O", "O", "O", "O", "O", "O", "O", "O", "O", "O", "O", "O"],
  "fractional_positions": [[0.7500, 0.1250, 0.3750], [0.2500, 0.8750, 0.6250], [0.2500, 0.3750, 0.1250], [0.6250, 0.2500, 0.8750], [0.3750, 0.7500, 0.1250], [0.7500, 0.6250, 0.8750], [0.8750, 0.7500, 0.6250], [0.1250, 0.2500, 0.3750], [0.3750, 0.6250, 0.7500], [0.6250, 0.3750, 0.2500], [0.1250, 0.8750, 0.2500], [0.8750, 0.1250, 0.7500], [0.7500, 0.8750, 0.1250], [0.2500, 0.1250, 0.8750], [0.2500, 0.6250, 0.3750], [0.8750, 0.2500, 0.1250], [0.6250, 0.7500, 0.3750], [0.7500, 0.3750, 0.6250], [0.1250, 0.7500, 0.8750], [0.3750, 0.2500, 0.6250], [0.6250, 0.8750, 0.7500], [0.3750, 0.1250, 0.2500], [0.8750, 0.6250, 0.2500], [0.1250, 0.3750, 0.7500], [0.0000, 0.0000, 0.0000], [0.5000, 0.0000, 0.5000], [0.0000, 0.5000, 0.5000], [0.5000, 0.5000, 0.5000], [0.5000, 0.5000, 0.0000], [0.5000, 0.0000, 0.0000], [0.0000, 0.5000, 0.0000], [0.0000, 0.0000, 0.5000], [0.5250, 0.8281, 0.9069], [0.4750, 0.1719, 0.0931], [0.4212, 0.6181, 0.5931], [0.0788, 0.6719, 0.1969], [0.6969, 0.0788, 0.1719], [0.6719, 0.9750, 0.5931], [0.5788, 0.3819, 0.4069], [0.9212, 0.3281, 0.8031], [0.3031, 0.9212, 0.8281], [0.3281, 0.0250, 0.4069], [0.9750, 0.8819, 0.3031], [0.8031, 0.9750, 0.3819], [0.8819, 0.0788, 0.9069], [0.0250, 0.1181, 0.6969], [0.1969, 0.0250, 0.6181], [0.1181, 0.9212, 0.0931], [0.4069, 0.5250, 0.3281], [0.8281, 0.4212, 0.3031], [0.5931, 0.4750, 0.6719], [0.1719, 0.5788, 0.6969], [0.0931, 0.4212, 0.1181], [0.6181, 0.5250, 0.1969], [0.9069, 0.5788, 0.8819], [0.3819, 0.4750, 0.8031], [0.6181, 0.0931, 0.9212], [0.4212, 0.8031, 0.3281], [0.3819, 0.9069, 0.0788], [0.5788, 0.1969, 0.6719], [0.8819, 0.8031, 0.4750], [0.9750, 0.0931, 0.1719], [0.1181, 0.1969, 0.5250], [0.0250, 0.9069, 0.8281], [0.6719, 0.6969, 0.5788], [0.0788, 0.4069, 0.3819], [0.3281, 0.3031, 0.4212], [0.9212, 0.5931, 0.6181], [0.8281, 0.4069, 0.0250], [0.5250, 0.6969, 0.1181], [0.1719, 0.5931, 0.9750], [0.4750, 0.3031, 0.8819], [0.6969, 0.6181, 0.0250], [0.3031, 0.3819, 0.9750], [0.8031, 0.8281, 0.9212], [0.1969, 0.1719, 0.0788], [0.0931, 0.6719, 0.4750], [0.9069, 0.3281, 0.5250], [0.4069, 0.8819, 0.5788], [0.5931, 0.1181, 0.4212]]
}